Computed, not measured: a relaxed structure of CrCo2GeO at the GGA+U level of DFT.

## Properties
The calculation puts the total energy at -24.11 eV for the cell shown. The value obtained for the calculated density is 5.06 g/cm³.

Lattice parameters (Å, degrees): 4.6730 4.6730 3.8863 90.00 90.00 90.00
Space group P4/mmm (No. 123)
Inequivalent atoms, fractional coordinates:
Cr (0.0000, 0.0000, 0.0000)
Co (0.0000, 0.5000, 0.5000)
Ge (0.5000, 0.5000, 0.5000)
O (0.5000, 0.5000, 0.0000)